{
  "formula": "CaCr3Pd",
  "functional": "PBE",
  "state": "optimized geometry",
  "cell": [[4.960, 0.000, 0.000], [0.000, 4.960, 0.000], [0.000, 0.000, 4.960]],
  "species": ["Cr", "Cr", "Cr", "Ca", "Pd"],
  "fractional_positions": [[0.500, 0.000, 0.000], [0.000, 0.000, 0.500], [0.000, 0.500, 0.000], [0.500, 0.500, 0.500], [0.000, 0.000, 0.000]],
  "mass_density_g_cm3": 4.1,
  "formation_enthalpy_0k_ev_per_atom": 0.9361,
  "de_polymorph_mev_per_atom": 0,
  "crystal_system": "cubic",
  "e_tot_ev_per_cell": -31.4,
  "magnetic_moment_mub_per_cell": 12.87
}

***

{
  "formula": "CsPPb",
  "functional": "PBE",
  "state": "optimized geometry",
  "cell": [[4.307, 0.000, 0.000], [-2.154, 3.730, 0.000], [0.000, 0.000, 6.912]],
  "species": ["Pb", "Cs", "P"],
  "fractional_positions": [[0.333, 0.667, 0.570], [0.000, 0.000, 0.046], [0.667, 0.333, 0.384]],
  "mass_density_g_cm3": 5.5,
  "formation_enthalpy_0k_ev_per_atom": -0.2492,
  "crystal_system": "trigonal",
  "e_tot_ev_per_cell": -10.7,
  "magnetic_moment_mub_per_cell": 0.00
}

***

{
  "formula": "ZrNi2Au",
  "functional": "PBE",
  "state": "optimized geometry",
  "cell": [[-1.029, -6.331, 6.202], [-0.923, -7.995, 3.850], [1.519, -7.144, 5.124]],
  "species": ["Au", "Ni", "Ni", "Zr"],
  "fractional_positions": [[0.743, 0.743, 0.743], [0.257, 0.257, 0.257], [0.994, 0.994, 0.994], [0.506, 0.506, 0.506]],
  "mass_density_g_cm3": 10.7,
  "formation_enthalpy_0k_ev_per_atom": 0.1512,
  "crystal_system": "trigonal",
  "e_tot_ev_per_cell": -22.8,
  "magnetic_moment_mub_per_cell": 0.55
}

***

{
  "formula": "Cs2HAuCl6",
  "functional": "PBE",
  "state": "optimized geometry",
  "cell": [[6.915, 0.000, 0.000], [0.000, 6.915, 0.000], [3.457, 3.457, 5.644]],
  "species": ["Cl", "Cl", "Cl", "Cl", "Cl", "Cl", "Au", "H", "Cs", "Cs"],
  "fractional_positions": [[0.731, 0.269, 0.000], [0.208, 0.208, 0.584], [0.731, 0.731, 0.000], [0.792, 0.792, 0.416], [0.269, 0.269, 0.000], [0.269, 0.731, 0.000], [0.000, 0.000, 0.000], [0.500, 0.500, 0.000], [0.250, 0.750, 0.500], [0.750, 0.250, 0.500]],
  "mass_density_g_cm3": 4.2,
  "crystal_system": "tetragonal",
  "e_tot_ev_per_cell": -27.1,
  "magnetic_moment_mub_per_cell": 0.00
}

***

{
  "formula": "LaDy5ErTh2",
  "functional": "PBE",
  "state": "optimized geometry",
  "cell": [[-6.138, 6.468, 0.277], [-3.902, -4.000, 6.954], [9.422, 2.739, 1.139]],
  "species": ["Dy", "Dy", "Dy", "Dy", "Dy", "Dy", "Dy", "Dy", "Dy", "Dy", "Th", "Th", "Th", "Th", "Er", "Er", "La", "La"],
  "fractional_positions": [[0.500, 0.500, 0.000], [0.000, 0.000, 0.000], [0.571, 0.657, 0.728], [0.343, 0.843, 0.272], [0.657, 0.157, 0.728], [0.071, 0.571, 0.728], [0.929, 0.429, 0.272], [0.429, 0.343, 0.272], [0.157, 0.071, 0.728], [0.843, 0.929, 0.272], [0.381, 0.881, 0.000], [0.881, 0.619, 0.000], [0.119, 0.381, 0.000], [0.619, 0.119, 0.000], [0.750, 0.250, 0.500], [0.250, 0.750, 0.500], [0.750, 0.750, 0.500], [0.250, 0.250, 0.500]],
  "mass_density_g_cm3": 8.7,
  "formation_enthalpy_0k_ev_per_atom": 0.3310,
  "crystal_system": "tetragonal",
  "e_tot_ev_per_cell": -88.7,
  "magnetic_moment_mub_per_cell": 0.00
}

***

{
  "formula": "LiZrTiMo",
  "functional": "PBE",
  "state": "optimized geometry",
  "cell": [[-1.999, 0.201, -4.132], [2.571, -0.142, -3.805], [-0.087, -3.721, -2.693]],
  "species": ["Li", "Zr", "Mo", "Ti"],
  "fractional_positions": [[0.250, 0.250, 0.250], [0.500, 0.500, 0.500], [0.750, 0.750, 0.750], [0.000, 0.000, 0.000]],
  "mass_density_g_cm3": 5.9,
  "formation_enthalpy_0k_ev_per_atom": 0.0834,
  "crystal_system": "cubic",
  "e_tot_ev_per_cell": -28.9,
  "magnetic_moment_mub_per_cell": 0.00
}

***

{
  "formula": "La3RuAu",
  "functional": "PBE",
  "state": "optimized geometry",
  "cell": [[4.016, 0.000, 0.000], [0.000, 4.969, -3.814], [0.000, 4.969, 3.814]],
  "species": ["Au", "Ru", "La", "La", "La"],
  "fractional_positions": [[0.500, 0.859, 0.141], [0.000, 0.573, 0.427], [0.500, 0.701, 0.678], [0.500, 0.322, 0.299], [0.000, 0.173, 0.827]],
  "mass_density_g_cm3": 7.8,
  "formation_enthalpy_0k_ev_per_atom": -0.2796,
  "de_polymorph_mev_per_atom": 208,
  "crystal_system": "orthorhombic",
  "e_tot_ev_per_cell": -28.7,
  "magnetic_moment_mub_per_cell": 0.00
}

***

{
  "formula": "Ni3TeAs",
  "functional": "PBE",
  "state": "optimized geometry",
  "cell": [[4.433, 0.000, 0.000], [0.000, 4.433, 0.000], [0.000, 0.000, 4.433]],
  "species": ["Ni", "Ni", "Ni", "Te", "As"],
  "fractional_positions": [[0.000, 0.000, 0.500], [0.500, 0.000, 0.000], [0.000, 0.500, 0.000], [0.500, 0.500, 0.500], [0.000, 0.000, 0.000]],
  "mass_density_g_cm3": 7.2,
  "de_polymorph_mev_per_atom": 0,
  "formation_energy_uncorrected_mev_per_atom": 356.7,
  "crystal_system": "cubic",
  "e_tot_ev_per_cell": -23.4,
  "magnetic_moment_mub_per_cell": 0.00
}

***

{
  "formula": "Zn2WBr",
  "functional": "PBE",
  "state": "optimized geometry",
  "cell": [[-2.686, -2.078, 3.249], [-3.534, -2.804, -1.316], [0.303, -4.640, 0.682]],
  "species": ["Zn", "Zn", "Br", "W"],
  "fractional_positions": [[0.750, 0.750, 0.750], [0.250, 0.250, 0.250], [0.000, 0.000, 0.000], [0.500, 0.500, 0.500]],
  "mass_density_g_cm3": 8.9,
  "de_polymorph_mev_per_atom": 869,
  "formation_energy_uncorrected_mev_per_atom": 1257.3,
  "crystal_system": "cubic",
  "e_tot_ev_per_cell": -12.1,
  "magnetic_moment_mub_per_cell": 1.49
}

***

{
  "formula": "Be2P",
  "functional": "PBE",
  "state": "optimized geometry",
  "cell": [[-0.974, -5.119, 0.587], [1.874, -4.191, 2.534], [-1.516, 5.017, -0.173]],
  "species": ["Be", "Be", "P"],
  "fractional_positions": [[0.678, 0.678, 0.000], [0.322, 0.322, 0.000], [0.000, 0.000, 0.000]],
  "mass_density_g_cm3": 2.6,
  "formation_enthalpy_0k_ev_per_atom": 0.4521,
  "de_polymorph_mev_per_atom": 588,
  "crystal_system": "tetragonal",
  "e_tot_ev_per_cell": -11.5,
  "magnetic_moment_mub_per_cell": 0.00
}

***

{
  "formula": "CsBeH2",
  "functional": "PBE",
  "state": "optimized geometry",
  "cell": [[4.844, 0.000, 0.000], [2.422, 4.195, 0.000], [2.422, 1.398, 3.956]],
  "species": ["H", "H", "Be", "Cs"],
  "fractional_positions": [[0.250, 0.250, 0.250], [0.750, 0.750, 0.750], [0.000, 0.000, 0.000], [0.500, 0.500, 0.500]],
  "mass_density_g_cm3": 3.0,
  "de_polymorph_mev_per_atom": 813,
  "crystal_system": "cubic",
  "e_tot_ev_per_cell": -6.8,
  "magnetic_moment_mub_per_cell": 0.00
}

***

{
  "formula": "ZrNi2Os",
  "functional": "PBE",
  "state": "optimized geometry",
  "cell": [[4.215, 0.000, 0.000], [0.000, 2.716, 0.039], [0.000, 0.904, 4.981]],
  "species": ["Zr", "Ni", "Ni", "Os"],
  "fractional_positions": [[0.500, 0.744, 0.781], [0.500, 0.097, 0.271], [0.000, 0.161, 0.009], [0.000, 0.498, 0.438]],
  "mass_density_g_cm3": 11.6,
  "formation_enthalpy_0k_ev_per_atom": -0.1281,
  "crystal_system": "monoclinic",
  "e_tot_ev_per_cell": -31.9,
  "magnetic_moment_mub_per_cell": 0.00
}